No. 1
Li2Nd4Os after structural relaxation. Source: Alexandria via LeMat-Bulk, functional PBE.

Values from the calculation:
Magnetic moment ... 0.00 μB per cell
DFT formation energy ... 0.156 eV per atom

a = 8.893 Å, b = 8.893 Å, c = 8.893 Å
α = 33.56°, β = 33.56°, γ = 33.56°
Fractional coordinates of all 7 atoms:
Li (0.245, 0.245, 0.245)
Li (0.755, 0.755, 0.755)
Nd (0.126, 0.126, 0.126)
Nd (0.380, 0.380, 0.380)
Nd (0.620, 0.620, 0.620)
Nd (0.874, 0.874, 0.874)
Os (0.500, 0.500, 0.500)

No. 2
LiNd4Os after structural relaxation. Source: Alexandria via LeMat-Bulk, functional PBE.

Values from the calculation:
Magnetic moment ... 0.00 μB per cell
DFT formation energy ... 0.223 eV per atom

a = 8.180 Å, b = 8.180 Å, c = 8.180 Å
α = 106.69°, β = 106.69°, γ = 115.20°
Fractional coordinates of all 12 atoms:
Li (0.000, 0.000, 0.000)
Li (0.750, 0.250, 0.500)
Nd (0.035, 0.343, 0.308)
Nd (0.035, 0.726, 0.692)
Nd (0.093, 0.285, 0.808)
Nd (0.476, 0.285, 0.192)
Nd (0.490, 0.203, 0.713)
Nd (0.490, 0.776, 0.287)
Nd (0.526, 0.740, 0.787)
Nd (0.953, 0.740, 0.213)
Os (0.267, 0.767, 0.500)
Os (0.517, 0.517, 0.000)

No. 3
LiPrNdOs after structural relaxation. Source: Alexandria via LeMat-Bulk, functional PBE.

Values from the calculation:
Magnetic moment ... 0.00 μB per cell
DFT formation energy ... -0.058 eV per atom

a = 5.079 Å, b = 5.079 Å, c = 5.079 Å
α = 60.00°, β = 60.00°, γ = 60.00°
Fractional coordinates of all 4 atoms:
Li (0.000, 0.000, 0.000)
Pr (0.250, 0.250, 0.250)
Nd (0.750, 0.750, 0.750)
Os (0.500, 0.500, 0.500)

No. 4
LiNdPuOs after structural relaxation. Source: Alexandria via LeMat-Bulk, functional PBE.

Values from the calculation:
Magnetic moment ... 5.53 μB per cell
DFT formation energy ... 0.034 eV per atom

a = 4.960 Å, b = 4.960 Å, c = 4.960 Å
α = 60.00°, β = 60.00°, γ = 60.00°
Fractional coordinates of all 4 atoms:
Li (0.000, 0.000, 0.000)
Nd (0.750, 0.750, 0.750)
Pu (0.250, 0.250, 0.250)
Os (0.500, 0.500, 0.500)

No. 5
LiNdScOs after structural relaxation. Source: Alexandria via LeMat-Bulk, functional PBE.

Values from the calculation:
Magnetic moment ... 0.00 μB per cell
DFT formation energy ... -0.153 eV per atom

a = 4.842 Å, b = 4.842 Å, c = 4.842 Å
α = 60.00°, β = 60.00°, γ = 60.00°
Fractional coordinates of all 4 atoms:
Li (0.000, 0.000, 0.000)
Nd (0.750, 0.750, 0.750)
Sc (0.250, 0.250, 0.250)
Os (0.500, 0.500, 0.500)

No. 6
LiNdSi2Os after structural relaxation. Source: Alexandria via LeMat-Bulk, functional PBE.

Values from the calculation:
Magnetic moment ... 0.00 μB per cell
E_form (uncorrected) ... -0.515 eV/atom

a = 5.820 Å, b = 5.820 Å, c = 5.820 Å
α = 137.96°, β = 137.96°, γ = 60.97°
Fractional coordinates of all 5 atoms:
Li (0.000, 0.000, 0.000)
Nd (0.750, 0.250, 0.500)
Si (0.123, 0.623, 0.500)
Si (0.377, 0.877, 0.500)
Os (0.500, 0.500, 0.000)

No. 7
LiTbNdOs after structural relaxation. Source: Alexandria via LeMat-Bulk, functional PBE.

Values from the calculation:
Magnetic moment ... 0.00 μB per cell
DFT formation energy ... -0.140 eV per atom

a = 4.988 Å, b = 4.988 Å, c = 4.988 Å
α = 60.00°, β = 60.00°, γ = 60.00°
Fractional coordinates of all 4 atoms:
Li (0.000, 0.000, 0.000)
Tb (0.250, 0.250, 0.250)
Nd (0.750, 0.750, 0.750)
Os (0.500, 0.500, 0.500)

No. 8
LiNdYOs after structural relaxation. Source: Alexandria via LeMat-Bulk, functional PBE.

Values from the calculation:
Magnetic moment ... 0.00 μB per cell
DFT formation energy ... -0.138 eV per atom

a = 4.987 Å, b = 4.987 Å, c = 4.987 Å
α = 60.00°, β = 60.00°, γ = 60.00°
Fractional coordinates of all 4 atoms:
Li (0.000, 0.000, 0.000)
Nd (0.250, 0.250, 0.250)
Y (0.750, 0.750, 0.750)
Os (0.500, 0.500, 0.500)

No. 9
LiNdP after structural relaxation. Source: Alexandria via LeMat-Bulk, functional PBE.

Values from the calculation:
Magnetic moment ... 0.85 μB per cell
DFT formation energy ... -1.009 eV per atom

a = 4.128 Å, b = 4.128 Å, c = 4.029 Å
α = 90.00°, β = 90.00°, γ = 120.00°
Fractional coordinates of all 3 atoms:
Li (0.000, 0.000, 0.000)
Nd (0.667, 0.333, 0.500)
P (0.333, 0.667, 0.000)

No. 10
LiNd2P2 after structural relaxation. Source: Alexandria via LeMat-Bulk, functional PBE.

Values from the calculation:
Magnetic moment ... 0.00 μB per cell
DFT formation energy ... -1.152 eV per atom

a = 7.950 Å, b = 7.950 Å, c = 7.296 Å
α = 90.00°, β = 90.00°, γ = 150.05°
Fractional coordinates of all 10 atoms:
Li (0.098, 0.902, 0.500)
Li (0.902, 0.098, 0.000)
Nd (0.292, 0.708, 0.704)
Nd (0.465, 0.535, 0.349)
Nd (0.535, 0.465, 0.849)
Nd (0.708, 0.292, 0.204)
P (0.066, 0.934, 0.144)
P (0.330, 0.670, 0.085)
P (0.670, 0.330, 0.585)
P (0.934, 0.066, 0.644)

No. 11
LiNd2P after structural relaxation. Source: Alexandria via LeMat-Bulk, functional PBE.

Values from the calculation:
Magnetic moment ... 0.00 μB per cell
E above lowest polymorph ... 0.490 eV per formula unit
DFT formation energy ... -0.516 eV per atom

a = 10.561 Å, b = 10.561 Å, c = 10.561 Å
α = 21.33°, β = 21.33°, γ = 21.33°
Fractional coordinates of all 4 atoms:
Li (0.000, 0.000, 0.000)
Nd (0.113, 0.113, 0.113)
Nd (0.887, 0.887, 0.887)
P (0.500, 0.500, 0.500)

No. 12
LiNd2P after structural relaxation. Source: Alexandria via LeMat-Bulk, functional PBE.

Values from the calculation:
Magnetic moment ... 0.00 μB per cell
E above lowest polymorph ... 0.291 eV per formula unit
DFT formation energy ... -0.566 eV per atom

a = 4.883 Å, b = 4.883 Å, c = 3.896 Å
α = 90.00°, β = 90.00°, γ = 90.00°
Fractional coordinates of all 4 atoms:
Li (0.000, 0.000, 0.000)
Nd (0.000, 0.500, 0.500)
Nd (0.500, 0.000, 0.500)
P (0.500, 0.500, 0.000)

No. 13
LiNd2P after structural relaxation. Source: Alexandria via LeMat-Bulk, functional PBE.

Values from the calculation:
Magnetic moment ... 0.06 μB per cell
E above lowest polymorph ... 0.000 eV per formula unit
DFT formation energy ... -0.638 eV per atom

a = 8.784 Å, b = 8.784 Å, c = 8.784 Å
α = 26.40°, β = 26.40°, γ = 26.40°
Fractional coordinates of all 4 atoms:
Li (0.000, 0.000, 0.000)
Nd (0.231, 0.231, 0.231)
Nd (0.436, 0.436, 0.436)
P (0.834, 0.834, 0.834)

No. 14
LiNdP after structural relaxation. Source: Alexandria via LeMat-Bulk, functional PBE.

Values from the calculation:
Magnetic moment ... 0.00 μB per cell
DFT formation energy ... -1.025 eV per atom

a = 4.124 Å, b = 4.124 Å, c = 6.965 Å
α = 90.00°, β = 90.00°, γ = 90.00°
Fractional coordinates of all 6 atoms:
Li (0.250, 0.750, 0.000)
Li (0.750, 0.250, 0.000)
Nd (0.250, 0.250, 0.339)
Nd (0.750, 0.750, 0.661)
P (0.250, 0.250, 0.770)
P (0.750, 0.750, 0.230)

No. 15
Li4NdP2 after structural relaxation. Source: Alexandria via LeMat-Bulk, functional PBE.

Values from the calculation:
Magnetic moment ... 0.16 μB per cell
DFT formation energy ... -0.817 eV per atom

a = 7.594 Å, b = 7.594 Å, c = 4.069 Å
α = 90.00°, β = 90.00°, γ = 90.00°
Fractional coordinates of all 14 atoms:
Li (0.095, 0.332, 0.000)
Li (0.168, 0.595, 0.500)
Li (0.332, 0.095, 0.000)
Li (0.405, 0.832, 0.500)
Li (0.595, 0.168, 0.500)
Li (0.668, 0.905, 0.000)
Li (0.832, 0.405, 0.500)
Li (0.905, 0.668, 0.000)
Nd (0.000, 0.000, 0.500)
Nd (0.500, 0.500, 0.000)
P (0.213, 0.787, 0.000)
P (0.287, 0.287, 0.500)
P (0.713, 0.713, 0.500)
P (0.787, 0.213, 0.000)

No. 16
LiNdP after structural relaxation. Source: Alexandria via LeMat-Bulk, functional PBE.

Values from the calculation:
Magnetic moment ... 0.00 μB per cell
DFT formation energy ... -0.892 eV per atom

a = 4.614 Å, b = 4.614 Å, c = 4.614 Å
α = 60.00°, β = 60.00°, γ = 60.00°
Fractional coordinates of all 3 atoms:
Li (0.000, 0.000, 0.000)
Nd (0.500, 0.500, 0.500)
P (0.750, 0.750, 0.750)

No. 17
Li3NdP2 after structural relaxation. Source: Alexandria via LeMat-Bulk, functional PBE.

Values from the calculation:
Magnetic moment ... 0.00 μB per cell
DFT formation energy ... -0.913 eV per atom

a = 8.231 Å, b = 8.231 Å, c = 9.964 Å
α = 100.63°, β = 100.63°, γ = 28.16°
Fractional coordinates of all 18 atoms:
Li (0.000, 0.000, 0.000)
Li (0.123, 0.123, 0.731)
Li (0.182, 0.182, 0.491)
Li (0.290, 0.290, 0.093)
Li (0.448, 0.448, 0.161)
Li (0.552, 0.552, 0.839)
Li (0.710, 0.710, 0.907)
Li (0.818, 0.818, 0.509)
Li (0.877, 0.877, 0.269)
Nd (0.335, 0.335, 0.784)
Nd (0.500, 0.500, 0.500)
Nd (0.665, 0.665, 0.216)
P (0.044, 0.044, 0.307)
P (0.143, 0.143, 0.989)
P (0.307, 0.307, 0.351)
P (0.693, 0.693, 0.649)
P (0.857, 0.857, 0.011)
P (0.956, 0.956, 0.693)

No. 18
LiNd3Pa2P6 after structural relaxation. Source: Alexandria via LeMat-Bulk, functional PBE.

Values from the calculation:
Magnetic moment ... 0.00 μB per cell
DFT formation energy ... -1.271 eV per atom

a = 7.020 Å, b = 7.020 Å, c = 7.060 Å
α = 99.52°, β = 99.52°, γ = 119.96°
Fractional coordinates of all 12 atoms:
Li (0.000, 0.000, 0.000)
Nd (0.164, 0.836, 0.500)
Nd (0.500, 0.500, 0.500)
Nd (0.836, 0.164, 0.500)
Pa (0.333, 0.667, 0.000)
Pa (0.667, 0.333, 0.000)
P (0.078, 0.421, 0.233)
P (0.265, 0.265, 0.766)
P (0.421, 0.078, 0.233)
P (0.579, 0.922, 0.767)
P (0.735, 0.735, 0.234)
P (0.922, 0.579, 0.767)

No. 19
LiNd2PaP4 after structural relaxation. Source: Alexandria via LeMat-Bulk, functional PBE.

Values from the calculation:
Magnetic moment ... 0.00 μB per cell
DFT formation energy ... -1.124 eV per atom

a = 6.937 Å, b = 4.126 Å, c = 7.028 Å
α = 90.00°, β = 108.89°, γ = 90.00°
Fractional coordinates of all 8 atoms:
Li (0.000, 0.000, 0.000)
Nd (0.000, 0.500, 0.500)
Nd (0.500, 0.000, 0.500)
Pa (0.500, 0.500, 0.000)
P (0.259, 0.000, 0.767)
P (0.261, 0.500, 0.237)
P (0.739, 0.500, 0.763)
P (0.741, 0.000, 0.233)

No. 20
LiNdP2Pd5 after structural relaxation. Source: Alexandria via LeMat-Bulk, functional PBE.

Values from the calculation:
Magnetic moment ... 0.00 μB per cell
DFT formation energy ... -0.709 eV per atom

a = 4.176 Å, b = 4.176 Å, c = 8.735 Å
α = 90.00°, β = 90.00°, γ = 90.00°
Fractional coordinates of all 9 atoms:
Li (0.000, 0.000, 0.000)
Nd (0.000, 0.000, 0.500)
P (0.500, 0.500, 0.121)
P (0.500, 0.500, 0.879)
Pd (0.000, 0.500, 0.252)
Pd (0.000, 0.500, 0.748)
Pd (0.500, 0.000, 0.252)
Pd (0.500, 0.000, 0.748)
Pd (0.500, 0.500, 0.500)